(1)
Entry from the Alexandria database: a PBEsol-optimized structure of ZrBe (meta-GGA SCAN).

Cell lengths 4.2603, 4.2603, 4.0092 Å; angles 90.00, 90.00, 120.00 degrees
Fractional coordinates of all 4 atoms:
Zr (0.3333, 0.6667, 0.2500)
Zr (0.6667, 0.3333, 0.7500)
Be (0.0000, 0.0000, 0.0000)
Be (0.0000, 0.0000, 0.5000)

Calculated values
E_form, meV per atom: 18

=====

(2)
Entry from the Alexandria database: a PBEsol-optimized structure of Y2Pb2O7 (meta-GGA SCAN).

Cell lengths 7.5211, 7.5211, 7.5211 Å; angles 60.00, 60.00, 60.00 degrees
Fractional coordinates of all 22 atoms:
Y (0.0000, 0.0000, 0.0000)
Y (0.0000, 0.0000, 0.5000)
Y (0.0000, 0.5000, 0.0000)
Y (0.5000, 0.0000, 0.0000)
Pb (0.0000, 0.5000, 0.5000)
Pb (0.5000, 0.0000, 0.5000)
Pb (0.5000, 0.5000, 0.0000)
Pb (0.5000, 0.5000, 0.5000)
O (0.1250, 0.1250, 0.1250)
O (0.1502, 0.1502, 0.5998)
O (0.1502, 0.5998, 0.1502)
O (0.1502, 0.5998, 0.5998)
O (0.4002, 0.4002, 0.8498)
O (0.4002, 0.8498, 0.4002)
O (0.4002, 0.8498, 0.8498)
O (0.5998, 0.1502, 0.1502)
O (0.5998, 0.1502, 0.5998)
O (0.5998, 0.5998, 0.1502)
O (0.8498, 0.4002, 0.4002)
O (0.8498, 0.4002, 0.8498)
O (0.8498, 0.8498, 0.4002)
O (0.8750, 0.8750, 0.8750)

Calculated values
Energy relative to the elements, uncorrected, eV per atom: -2.30

=====

(3)
Entry from the Alexandria database: a PBEsol-optimized structure of RbSrNbN2 (meta-GGA SCAN).

Cell lengths 4.2642, 4.2642, 5.2374 Å; angles 90.00, 90.00, 90.00 degrees
Fractional coordinates of all 5 atoms:
Rb (0.0000, 0.0000, 0.0000)
Sr (0.5000, 0.5000, 0.0000)
Nb (0.0000, 0.0000, 0.5000)
N (0.0000, 0.5000, 0.5000)
N (0.5000, 0.0000, 0.5000)

Calculated values
Energy relative to the elements, uncorrected, eV per atom: 0.82

=====

(4)
Entry from the Alexandria database: a PBEsol-optimized structure of NaSi2AgSe (meta-GGA SCAN).

Cell lengths 4.6833, 4.6833, 5.2436 Å; angles 90.00, 90.00, 90.00 degrees
Fractional coordinates of all 5 atoms:
Na (0.0000, 0.0000, 0.0000)
Si (0.0000, 0.5000, 0.5000)
Si (0.5000, 0.0000, 0.5000)
Ag (0.0000, 0.0000, 0.5000)
Se (0.5000, 0.5000, 0.0000)

Calculated values
Energy relative to the elements, uncorrected, eV per atom: 0.58